Material: Ce2Tl3NiS6
Method: DFT, PBE
State: relaxed

Geometry as POSCAR:
```
Ce2Tl3NiS6
1.0
6.803 0.099 -0.013
-3.314 5.942 -0.013
-1.180 -2.043 7.510
Tl S Ni Ce
3 6 1 2
direct
0.172 0.828 0.500
0.828 0.172 0.500
0.500 0.500 0.500
0.263 0.263 0.786
0.064 0.366 0.183
0.634 0.936 0.817
0.936 0.634 0.817
0.366 0.064 0.183
0.737 0.737 0.214
0.000 0.000 0.000
0.667 0.333 0.000
0.333 0.667 0.000
```

---

Material: Ce2TlNiS4
Method: DFT, PBE
State: relaxed

Geometry as POSCAR:
```
Ce2TlNiS4
1.0
-0.978 -3.874 0.106
7.089 0.318 1.662
-3.144 1.156 13.184
Tl S Ce Ni
2 8 4 2
direct
0.101 0.201 0.750
0.899 0.799 0.250
0.580 0.159 0.250
0.420 0.841 0.750
0.739 0.478 0.615
0.739 0.478 0.885
0.261 0.522 0.115
0.261 0.522 0.385
0.000 0.000 0.000
0.000 0.000 0.500
0.365 0.730 0.939
0.365 0.730 0.561
0.635 0.270 0.439
0.635 0.270 0.061
0.834 0.668 0.750
0.166 0.332 0.250
```

---

Material: Ce2TmNiS5
Method: DFT, PBE
State: relaxed

Geometry as POSCAR:
```
Ce2TmNiS5
1.0
3.812 0.000 0.000
-1.906 8.153 0.000
0.000 0.000 11.771
S Ce Tm Ni
10 4 2 2
direct
0.985 0.971 0.512
0.503 0.007 0.249
0.686 0.372 0.863
0.305 0.609 0.688
0.695 0.391 0.188
0.342 0.684 0.021
0.015 0.029 0.012
0.658 0.316 0.521
0.497 0.993 0.749
0.314 0.628 0.363
0.119 0.238 0.697
0.889 0.778 0.850
0.881 0.762 0.197
0.111 0.222 0.350
0.177 0.354 0.026
0.823 0.646 0.526
0.552 0.104 0.918
0.448 0.896 0.418
```

---

Material: CeUNiS4
Method: DFT, PBE
State: relaxed

Geometry as POSCAR:
```
CeUNiS4
1.0
6.330 0.000 0.096
0.000 5.889 0.000
-2.349 0.000 7.257
Ni U Ce S
2 2 2 8
direct
0.235 0.750 0.316
0.765 0.250 0.684
0.759 0.750 0.442
0.241 0.250 0.558
0.251 0.250 0.063
0.749 0.750 0.937
0.019 0.988 0.746
0.431 0.750 0.604
0.569 0.250 0.396
0.432 0.750 0.119
0.981 0.012 0.254
0.019 0.512 0.746
0.981 0.488 0.254
0.568 0.250 0.881
```

---

Which VASP energy belongs to each record? In order, -61.25, -47.79, -58.59, -49.25 eV per formula unit.
Which uncorrected formation energy belongs to each record? In order, -0.978, -1.408, -1.760, -1.391 eV/atom.